Here is LiTmSb2 after structural relaxation from the Alexandria database. Energies are from PBE.

## Properties
The volume is 96.7 Å³/f.u. For the total magnetization, the calculation gives 0.0 μB per formula unit. As for the raw formation energy: -0.60 eV per atom. The energy above the most stable polymorph in this dataset is 133.5 meV/atom. The mass density comes out at 7.20 g cm⁻³.

CIF file:
```
data_LiTmSb2
_cell_length_a 4.850
_cell_length_b 4.850
_cell_length_c 4.110
_cell_angle_alpha 90.00
_cell_angle_beta 90.00
_cell_angle_gamma 90.00
_space_group_name_H-M_alt 'P 4/m m m'
_space_group_IT_number 123
_space_group_name_Hall '-P 4 2'
loop_
_atom_site_label
_atom_site_type_symbol
_atom_site_fract_x
_atom_site_fract_y
_atom_site_fract_z
_atom_site_occupancy
Li1 Li 0.000 0.000 0.000 1
Tm1 Tm 0.500 0.500 0.000 1
Sb1 Sb 0.000 0.500 0.500 1
```



Here is LiTm8Sb6 after structural relaxation from the Alexandria database. Energies are from PBE.

## Properties
The volume is 426.4 Å³/f.u. For the total magnetization, the calculation gives 0.0 μB per formula unit. As for the raw formation energy: -0.72 eV per atom. The mass density comes out at 8.14 g cm⁻³.

CIF file:
```
data_LiTm8Sb6
_cell_length_a 8.9272
_cell_length_b 8.9272
_cell_length_c 18.5339
_cell_angle_alpha 90.00
_cell_angle_beta 90.00
_cell_angle_gamma 120.00
_space_group_name_H-M_alt 'R -3'
_space_group_IT_number 148
_space_group_name_Hall '-R 3'
loop_
_atom_site_label
_atom_site_type_symbol
_atom_site_fract_x
_atom_site_fract_y
_atom_site_fract_z
_atom_site_occupancy
Li1 Li 0.0000 0.0000 0.0000 1
Tm1 Tm 0.0000 0.0000 0.3321 1
Tm2 Tm 0.0027 0.7221 0.0918 1
Sb1 Sb 0.0021 0.6265 0.9226 1
```



Here is LiTmSb2 after structural relaxation from the Alexandria database. Energies are from PBE.

## Properties
The volume is 99.1 Å³/f.u. For the total magnetization, the calculation gives 0.0 μB per formula unit. As for the raw formation energy: -0.57 eV per atom. The energy above the most stable polymorph in this dataset is 159.2 meV/atom. The mass density comes out at 7.03 g cm⁻³.

CIF file:
```
data_LiTmSb2
_cell_length_a 3.904
_cell_length_b 3.904
_cell_length_c 6.498
_cell_angle_alpha 90.00
_cell_angle_beta 90.00
_cell_angle_gamma 90.00
_space_group_name_H-M_alt 'P 4/m m m'
_space_group_IT_number 123
_space_group_name_Hall '-P 4 2'
loop_
_atom_site_label
_atom_site_type_symbol
_atom_site_fract_x
_atom_site_fract_y
_atom_site_fract_z
_atom_site_occupancy
Li1 Li 0.000 0.000 0.000 1
Tm1 Tm 0.000 0.000 0.500 1
Sb1 Sb 0.500 0.500 0.246 1
```



Here is LiUSb2 after structural relaxation from the Alexandria database. Energies are from PBE.

## Properties
The volume is 97.5 Å³/f.u. For the total magnetization, the calculation gives 2.6 μB per formula unit. As for the raw formation energy: -0.37 eV per atom. The energy above the most stable polymorph in this dataset is 0.0 meV/atom. The mass density comes out at 8.32 g cm⁻³.

CIF file:
```
data_LiUSb2
_cell_length_a 4.288
_cell_length_b 4.288
_cell_length_c 10.601
_cell_angle_alpha 90.00
_cell_angle_beta 90.00
_cell_angle_gamma 90.00
_space_group_name_H-M_alt 'P 4/n m m'
_space_group_IT_number 129
loop_
_space_group_symop_operation_xyz
'x,y,z'
'-x,-y,-z'
'-y+1/2,x,z'
'y+1/2,-x,-z'
'-x+1/2,-y+1/2,z'
'x+1/2,y+1/2,-z'
'y,-x+1/2,z'
'-y,x+1/2,-z'
'x+1/2,-y,-z'
'-x+1/2,y,z'
'-y,-x,-z'
'y,x,z'
'-x,y+1/2,-z'
'x,-y+1/2,z'
'y+1/2,x+1/2,-z'
'-y+1/2,-x+1/2,z'
loop_
_atom_site_label
_atom_site_type_symbol
_atom_site_fract_x
_atom_site_fract_y
_atom_site_fract_z
_atom_site_occupancy
Li1 Li 0.250 0.750 0.000 1
U1 U 0.250 0.250 0.272 1
Sb1 Sb 0.250 0.250 0.827 1
Sb2 Sb 0.250 0.750 0.500 1
```



What did the fourth record say?
Here is LiUSb2 after structural relaxation from the Alexandria database. Energies are from PBE.

## Properties
The volume is 97.5 Å³/f.u. For the total magnetization, the calculation gives 2.6 μB per formula unit. As for the raw formation energy: -0.37 eV per atom. The energy above the most stable polymorph in this dataset is 0.0 meV/atom. The mass density comes out at 8.32 g cm⁻³.

CIF file:
```
data_LiUSb2
_cell_length_a 4.288
_cell_length_b 4.288
_cell_length_c 10.601
_cell_angle_alpha 90.00
_cell_angle_beta 90.00
_cell_angle_gamma 90.00
_space_group_name_H-M_alt 'P 4/n m m'
_space_group_IT_number 129
loop_
_space_group_symop_operation_xyz
'x,y,z'
'-x,-y,-z'
'-y+1/2,x,z'
'y+1/2,-x,-z'
'-x+1/2,-y+1/2,z'
'x+1/2,y+1/2,-z'
'y,-x+1/2,z'
'-y,x+1/2,-z'
'x+1/2,-y,-z'
'-x+1/2,y,z'
'-y,-x,-z'
'y,x,z'
'-x,y+1/2,-z'
'x,-y+1/2,z'
'y+1/2,x+1/2,-z'
'-y+1/2,-x+1/2,z'
loop_
_atom_site_label
_atom_site_type_symbol
_atom_site_fract_x
_atom_site_fract_y
_atom_site_fract_z
_atom_site_occupancy
Li1 Li 0.250 0.750 0.000 1
U1 U 0.250 0.250 0.272 1
Sb1 Sb 0.250 0.250 0.827 1
Sb2 Sb 0.250 0.750 0.500 1
```